No. 1
Below is a relaxed structure of Rb2LiVCl6, with properties calculated at the GGA-PBE level.

Computed properties:
- density of states at the Fermi level (states/eV/atom) = 0.9365
- calculated volume (Å³/atom) = 25.3
- ΔE_f (raw) (meV/atom) = -1654
- DFT total energy (eV/atom) = -4.06
- symmetry = No. 225

Cell and atoms, written as POSCAR:
```
Rb2LiVCl6
1.0
0.000 5.020 5.020
5.020 0.000 5.020
5.020 5.020 0.000
Rb Li V Cl
2 1 1 6
Cartesian
2.510 2.510 2.510 Rb
7.530 7.530 7.530 Rb
0.000 0.000 0.000 Li
5.020 5.020 5.020 V
5.020 5.020 2.617 Cl
5.020 2.617 5.020 Cl
7.423 5.020 5.020 Cl
2.617 5.020 5.020 Cl
5.020 7.423 5.020 Cl
5.020 5.020 7.423 Cl
```

No. 2
Below is a relaxed structure of LiEuGdSn, with properties calculated at the GGA-PBE level.

Computed properties:
- density of states at the Fermi level (states/eV/atom) = 2.5192
- calculated volume (Å³/atom) = 27.9
- formation energy from the elements (eV/atom) = -0.41
- DFT total energy (eV/atom) = -7.97
- symmetry = No. 216

Cell and atoms, written as POSCAR:
```
LiEuGdSn
1.0
7.639 0.000 0.000
0.000 7.639 0.000
0.000 0.000 7.639
Li Eu Gd Sn
4 4 4 4
Cartesian
0.000 0.000 0.000 Li
0.000 3.819 3.819 Li
3.819 0.000 3.819 Li
3.819 3.819 0.000 Li
1.910 1.910 5.729 Eu
1.910 5.729 1.910 Eu
5.729 1.910 1.910 Eu
5.729 5.729 5.729 Eu
1.910 1.910 1.910 Gd
1.910 5.729 5.729 Gd
5.729 1.910 5.729 Gd
5.729 5.729 1.910 Gd
0.000 0.000 3.819 Sn
0.000 3.819 0.000 Sn
3.819 0.000 0.000 Sn
3.819 3.819 3.819 Sn
```

No. 3
Below is a relaxed structure of BaTl2ReO6, with properties calculated at the GGA-PBE level.

Computed properties:
- density of states at the Fermi level (states/eV/atom) = 0.3551
- calculated volume (Å³/atom) = 23.3
- ΔE_f (raw) (meV/atom) = -1431
- DFT total energy (eV/atom) = -6.32
- symmetry = No. 164

Cell and atoms, written as POSCAR:
```
BaTl2ReO6
1.0
6.326 0.000 0.000
-3.163 5.478 0.000
0.000 0.000 6.723
Ba Tl Re O
1 2 1 6
Cartesian
0.000 0.000 0.000 Ba
0.000 3.652 3.330 Tl
3.163 1.826 3.393 Tl
0.000 0.000 3.361 Re
0.000 1.539 4.496 O
-1.830 4.709 4.496 O
1.332 0.769 2.226 O
1.830 4.709 4.496 O
4.993 0.769 2.226 O
3.163 3.940 2.226 O
```

No. 4
Below is a relaxed structure of Ba6Ag2PdAu, with properties calculated at the GGA-PBE level.

Computed properties:
- density of states at the Fermi level (states/eV/atom) = 0.7455
- calculated volume (Å³/atom) = 43.2
- formation energy from the elements (eV/atom) = -0.37
- DFT total energy (eV/atom) = -2.94
- symmetry = No. 14

Cell and atoms, written as POSCAR:
```
Ba6Ag2PdAu
1.0
8.056 0.000 0.000
0.000 8.930 0.000
-7.875 0.000 12.005
Ba Ag Pd Au
12 4 2 2
Cartesian
-1.146 0.378 2.951 Ba
-5.084 4.087 8.953 Ba
1.355 6.124 0.830 Ba
-2.583 7.271 6.833 Ba
2.612 1.571 0.805 Ba
-1.326 2.893 6.808 Ba
1.507 6.036 5.197 Ba
-2.431 7.358 11.199 Ba
2.764 1.659 5.172 Ba
-1.174 2.806 11.174 Ba
5.265 4.843 3.051 Ba
1.327 8.552 9.054 Ba
-3.471 0.994 9.049 Ag
0.467 3.470 3.046 Ag
-0.286 5.459 8.958 Ag
3.652 7.935 2.956 Ag
0.000 0.000 0.000 Pd
-3.938 4.465 6.002 Pd
0.090 0.000 6.002 Au
4.028 4.465 0.000 Au
```

No. 5
Below is a relaxed structure of MgGe2Sb2Pd7, with properties calculated at the GGA-PBE level.

Computed properties:
- density of states at the Fermi level (states/eV/atom) = 0.5436
- calculated volume (Å³/atom) = 18.2
- ΔE_f (raw) (meV/atom) = -345
- DFT total energy (eV/atom) = -4.96
- symmetry = No. 12

Cell and atoms, written as POSCAR:
```
MgGe2Sb2Pd7
1.0
2.775 -2.775 0.000
2.775 2.775 0.000
-2.657 0.000 14.179
Mg Ge Sb Pd
1 2 2 7
Cartesian
0.000 0.000 0.000 Mg
0.108 0.000 10.580 Ge
2.786 0.000 3.600 Ge
0.063 0.000 5.346 Sb
2.830 0.000 8.833 Sb
1.391 1.386 2.048 Pd
0.052 0.000 8.013 Pd
1.503 1.386 12.132 Pd
2.775 0.000 0.000 Pd
1.391 -1.386 2.048 Pd
2.842 0.000 6.167 Pd
1.503 -1.386 12.132 Pd
```

No. 6
Below is a relaxed structure of ZrPaAs, with properties calculated at the GGA-PBE level.

Computed properties:
- density of states at the Fermi level (states/eV/atom) = 1.5889
- calculated volume (Å³/atom) = 23.6
- formation energy from the elements (eV/atom) = -0.38
- DFT total energy (eV/atom) = -7.94
- symmetry = No. 84

Cell and atoms, written as POSCAR:
```
ZrPaAs
1.0
8.541 0.000 0.000
0.000 8.541 0.000
0.000 0.000 3.878
Zr Pa As
4 4 4
Cartesian
0.370 6.750 0.000 Zr
1.791 0.370 1.939 Zr
6.750 8.171 1.939 Zr
8.171 1.791 0.000 Zr
3.050 5.392 1.939 Pa
3.149 3.050 0.000 Pa
5.392 5.490 0.000 Pa
5.490 3.149 1.939 Pa
1.010 3.066 1.939 As
3.066 7.531 0.000 As
5.475 1.010 0.000 As
7.531 5.475 1.939 As
```

No. 7
Below is a relaxed structure of HoThTe2, with properties calculated at the GGA-PBE level.

Computed properties:
- density of states at the Fermi level (states/eV/atom) = 0.8097
- calculated volume (Å³/atom) = 37.3
- ΔE_f (raw) (meV/atom) = -708
- DFT total energy (eV/atom) = -5.28
- symmetry = No. 166

Cell and atoms, written as POSCAR:
```
HoThTe2
1.0
4.122 0.000 0.000
-2.061 3.569 0.000
0.000 0.000 30.424
Ho Th Te
3 3 6
Cartesian
0.000 0.000 0.000 Ho
0.000 2.380 20.283 Ho
2.061 1.190 10.141 Ho
0.000 0.000 15.212 Th
0.000 2.380 5.071 Th
2.061 1.190 25.353 Th
0.000 0.000 2.991 Te
0.000 0.000 27.434 Te
0.000 2.380 17.292 Te
0.000 2.380 23.273 Te
2.061 1.190 7.151 Te
2.061 1.190 13.132 Te
```

No. 8
Below is a relaxed structure of Pm2InCl8, with properties calculated at the GGA-PBE level.

Computed properties:
- density of states at the Fermi level (states/eV/atom) = 0.4176
- calculated volume (Å³/atom) = 30.0
- ΔE_f (raw) (meV/atom) = -1757
- DFT total energy (eV/atom) = -4.21
- symmetry = No. 12

Cell and atoms, written as POSCAR:
```
Pm2InCl8
1.0
7.433 -3.738 0.000
7.433 3.738 0.000
-2.492 0.000 5.933
Pm In Cl
2 1 8
Cartesian
2.990 0.000 0.955 Pm
9.383 0.000 4.978 Pm
7.433 0.000 0.000 In
0.603 0.000 1.821 Cl
5.185 1.780 0.889 Cl
3.444 0.000 3.699 Cl
7.188 1.780 5.044 Cl
5.185 -1.780 0.889 Cl
8.929 0.000 2.234 Cl
7.188 -1.780 5.044 Cl
11.770 0.000 4.112 Cl
```